Fe3O4F2: optimized geometry, PBE+U. Values from VASP.

Geometry as Quantum ESPRESSO input:
```
&SYSTEM
  ibrav = 0, nat = 18, ntyp = 3
/
ATOMIC_SPECIES
Fe 55.84 Fe.upf
O 16.00 O.upf
F 19.00 F.upf
ATOMIC_POSITIONS angstrom
Fe 0.0000 0.0000 0.0000
Fe 0.0566 2.2253 5.2644
Fe 2.1500 1.1065 2.6321
Fe 2.3330 2.7913 0.0000
Fe 2.5581 5.0897 5.0626
Fe 4.6515 3.9709 2.4304
O 0.9504 5.5066 1.6488
O 0.9939 2.1305 7.0003
O 1.4234 1.0445 4.4061
O 1.4291 2.7340 1.7816
O 3.2790 3.4622 5.9131
O 3.2847 5.1517 3.2887
O 3.7142 4.0657 0.6944
O 3.7577 0.6896 6.0459
F 0.9408 3.8468 4.3282
F 1.4015 4.9252 6.8028
F 3.3066 1.2710 0.8920
F 3.7673 2.3494 3.3665
CELL_PARAMETERS angstrom
4.6437 0.0000 0.0000
0.0224 5.5826 0.0000
0.0421 0.6137 7.6947
```

Properties
theoretical density: 4.5 Mg/m³
distance to the lowest polymorph of the same formula: 0.045 eV per atom
symmetry: P-1, No. 2
total moment: 1.554 μB per atom